Entry 1:
Computed, not measured: a relaxed structure of HgBr2O at the PBEsol level of DFT.

Computed properties:
The value obtained for the formation energy without anion corrections is 52.0 kJ per mole of atoms.

a = 3.8040 Å, b = 3.8040 Å, c = 24.3212 Å
α = 90.00°, β = 90.00°, γ = 120.00°
Last column: nearest neighbours and their distance in Å.
Space group R-3m (No. 166, hexagonal axes)
One atom of each set of equivalent atoms:
Hg1 0.0000 0.0000 0.0000 (multiplicity 3)  2 Br 2.45
Br1 0.0000 0.0000 0.1008 (multiplicity 6)  1 Hg 2.45, 3 O 2.72
O1 0.0000 0.0000 0.5000 (multiplicity 3)  6 Br 2.72

Entry 2:
Computed, not measured: a relaxed structure of HgOsBr4 at the PBEsol level of DFT.

Computed properties:
The value obtained for the formation energy without anion corrections is 147.5 kJ per mole of atoms.

a = 8.5447 Å, b = 8.5447 Å, c = 8.5447 Å
α = 90.00°, β = 90.00°, γ = 90.00°
Last column: nearest neighbours and their distance in Å.
Space group F-43m (No. 216)
One atom of each set of equivalent atoms:
Hg1 0.0000 0.0000 0.0000 (multiplicity 4)  12 Br 3.54, 4 Os 3.70
Os1 0.2500 0.2500 0.2500 (multiplicity 4)  12 Br 3.54, 4 Hg 3.70
Br1 0.1242 0.1242 0.6242 (multiplicity 16)  6 Br 3.00-3.04

Entry 3:
Computed, not measured: a relaxed structure of HgOs2Br at the PBEsol level of DFT.

Computed properties:
The value obtained for the formation energy without anion corrections is 120.5 kJ per mole of atoms.

a = 2.8444 Å, b = 5.0488 Å, c = 9.3355 Å
α = 90.00°, β = 90.00°, γ = 90.00°
Last column: nearest neighbours and their distance in Å.
Space group Immm (No. 71)
One atom of each set of equivalent atoms:
Hg1 0.0000 0.0000 0.0000 (multiplicity 2)  2 Hg 2.84, 4 Os 2.86, 4 Br 2.90
Os1 0.0000 0.5000 0.2343 (multiplicity 4)  2 Br 2.61, 6 Os 2.84-2.91, 2 Hg 2.86
Br1 0.0000 0.0000 0.5000 (multiplicity 2)  4 Os 2.61, 2 Br 2.84, 4 Hg 2.90

Entry 4:
Computed, not measured: a relaxed structure of HgOsBr2 at the PBEsol level of DFT.

Computed properties:
The value obtained for the formation energy without anion corrections is 38.2 kJ per mole of atoms.

a = 3.0779 Å, b = 4.8083 Å, c = 13.0170 Å
α = 90.00°, β = 90.00°, γ = 90.00°
Last column: nearest neighbours and their distance in Å.
Space group Immm (No. 71)
One atom of each set of equivalent atoms:
Hg1 0.0000 0.0000 0.0000 (multiplicity 2)  4 Os 2.85, 2 Hg 3.08, 4 Br 3.15
Os1 0.0000 0.0000 0.5000 (multiplicity 2)  4 Br 2.55
Br1 0.0000 0.5000 0.1559 (multiplicity 4)  2 Os 2.55

Entry 5:
Computed, not measured: a relaxed structure of HgOsBr2 at the PBEsol level of DFT.

Computed properties:
The value obtained for the formation energy without anion corrections is 132.2 kJ per mole of atoms.

a = 6.9010 Å, b = 6.9010 Å, c = 6.9010 Å
α = 90.00°, β = 90.00°, γ = 90.00°
Last column: nearest neighbours and their distance in Å.
Space group F-43m (No. 216)
One atom of each set of equivalent atoms:
Hg1 0.0000 0.0000 0.0000 (multiplicity 4)  4 Br 2.99, 4 Os 2.99
Os1 0.2500 0.2500 0.7500 (multiplicity 4)  4 Hg 2.99, 4 Br 2.99
Br1 0.0000 0.0000 0.5000 (multiplicity 4)  4 Br 2.99, 4 Os 2.99
Br2 0.2500 0.2500 0.2500 (multiplicity 4)  4 Br 2.99, 4 Hg 2.99

Entry 6:
Computed, not measured: a relaxed structure of HgP2Br at the PBEsol level of DFT.

Computed properties:
The value obtained for the formation energy without anion corrections is 76.4 kJ per mole of atoms.

a = 4.7702 Å, b = 4.7702 Å, c = 6.6152 Å
α = 90.00°, β = 90.00°, γ = 90.00°
Last column: nearest neighbours and their distance in Å.
Space group I4/mmm (No. 139)
One atom of each set of equivalent atoms:
Hg1 0.0000 0.0000 0.0000 (multiplicity 2)  8 P 2.90
P1 0.0000 0.5000 0.2500 (multiplicity 4)  4 Hg 2.90, 4 Br 2.90
Br1 0.0000 0.0000 0.5000 (multiplicity 2)  8 P 2.90

Number 1: final energy -7.4 eV per formula unit. Number 2: final energy -11.1 eV per formula unit. Number 3: final energy -21.9 eV per formula unit. Number 4: final energy -14.9 eV per formula unit. Number 5: final energy -11.0 eV per formula unit. Number 6: final energy -10.9 eV per formula unit.